Entry 1:
VASP calculation (PBE) on a geometry-optimized Sm7Co2Ag2 structure.

a b c (Å): 3.7483 9.5649 9.5649
angles (deg): 61.65 78.70 78.70
With the nearest neighbours (Å) after each atom.
Element x y z (fractional)
Sm1 0.1475 0.1044 0.6006  2 Co 2.82
Sm2 0.8159 0.0912 0.2769  2 Co 2.84
Sm3 0.6288 0.4711 0.2714  2 Co 2.79
Sm4 0.3712 0.7286 0.5289  2 Co 2.79
Sm5 0.5000 0.0201 0.9799  3 Ag 3.17-3.25
Sm6 0.8525 0.3994 0.8956  2 Co 2.82
Sm7 0.1841 0.7231 0.9088  2 Co 2.84
Co1 0.2577 0.3450 0.1397  6 Sm 2.79-2.84
Co2 0.7423 0.8603 0.6550  6 Sm 2.79-2.84
Ag1 0.5000 0.3515 0.6485  7 Sm 3.17-3.25
Ag2 0.0000 0.7591 0.2409  8 Sm 3.17-3.28

Summary:
energy of formation: -0.12 eV per atom
space-group type: Imm2
D(E_F): 11.9 states/eV per cell
E: -4.94 eV/atom
distance to the lowest polymorph of the same formula: 0.0 kJ/mol of formula units
spin magnetization: 0.00 μB/f.u.


Entry 2:
VASP calculation (PBE) on a geometry-optimized Sm5CoAg structure.

a b c (Å): 6.0330 6.0330 11.8061
angles (deg): 76.09 76.09 74.13
With the nearest neighbours (Å) after each atom.
Element x y z (fractional)
Sm1 0.2070 0.5542 0.5621  1 Co 2.64
Sm2 0.7930 0.4458 0.4379  1 Co 2.64
Sm3 0.4093 0.0770 0.3713  1 Co 2.67
Sm4 0.0770 0.4093 0.8713  1 Co 2.67
Sm5 0.5542 0.2070 0.0621  1 Co 2.64
Sm6 0.5907 0.9230 0.6287  1 Co 2.67
Sm7 0.9230 0.5907 0.1287  1 Co 2.67
Sm8 0.0104 0.9896 0.2500  2 Co 2.95, 1 Ag 2.99, 2 Sm 3.29
Sm9 0.9896 0.0104 0.7500  2 Co 2.95, 1 Ag 2.99, 2 Sm 3.29
Sm10 0.4458 0.7930 0.9379  1 Co 2.64
Co1 0.0000 0.0000 0.0000  6 Sm 2.64-2.95
Co2 0.0000 0.0000 0.5000  6 Sm 2.64-2.95
Ag1 0.4212 0.5788 0.2500  5 Sm 2.99-3.34
Ag2 0.5788 0.4212 0.7500  5 Sm 2.99-3.34

Summary:
energy of formation: -0.02 eV per atom
space-group type: C2/c
D(E_F): 14.8 states/eV per cell
E: -4.81 eV/atom
spin magnetization: 0.00 μB/f.u.


Entry 3:
VASP calculation (PBE) on a geometry-optimized Sm6CoAg3 structure.

a b c (Å): 7.1852 7.9407 10.2092
angles (deg): 90.00 80.95 90.00
With the nearest neighbours (Å) after each atom.
Element x y z (fractional)
Sm1 0.6850 0.1581 0.9463  1 Co 2.72, 1 Ag 3.03
Sm2 0.3648 0.8012 0.4333  1 Co 2.71
Sm3 0.1671 0.0466 0.7549  1 Co 2.63
Sm4 0.6671 0.4534 0.2549  1 Co 2.63
Sm5 0.1352 0.3012 0.0667  1 Co 2.71
Sm6 0.8648 0.6988 0.9333  1 Co 2.71
Sm7 0.8329 0.9534 0.2451  1 Co 2.63
Sm8 0.3329 0.5466 0.7451  1 Co 2.63
Sm9 0.1850 0.3419 0.4463  1 Co 2.72, 1 Ag 3.03
Sm10 0.6352 0.1988 0.5667  1 Co 2.71
Sm11 0.3150 0.8419 0.0537  1 Co 2.72, 1 Ag 3.03
Sm12 0.8150 0.6581 0.5537  1 Co 2.72, 1 Ag 3.03
Ag1 0.0617 0.6160 0.2588  7 Sm 3.12-3.36
Ag2 0.0000 0.0000 0.5000  6 Sm 3.03-3.05
Ag3 0.5617 0.8840 0.7588  7 Sm 3.12-3.36
Ag4 0.4383 0.1160 0.2412  7 Sm 3.12-3.36
Ag5 0.9383 0.3840 0.7412  7 Sm 3.12-3.36
Ag6 0.5000 0.5000 0.0000  6 Sm 3.03-3.05
Co1 0.5000 0.5000 0.5000  6 Sm 2.63-2.72
Co2 0.0000 0.0000 0.0000  6 Sm 2.63-2.72

Summary:
energy of formation: -0.10 eV per atom
space-group type: P2_1/c
D(E_F): 22.2 states/eV per cell
E: -4.49 eV/atom
spin magnetization: 0.00 μB/f.u.


Entry 4:
VASP calculation (PBE) on a geometry-optimized Sm3CoAg structure.

a b c (Å): 3.8208 8.5399 8.5250
angles (deg): 109.50 90.00 90.00
With the nearest neighbours (Å) after each atom.
Element x y z (fractional)
Sm1 0.7500 0.0476 0.2352  3 Co 2.81-2.91
Sm2 0.7500 0.3196 0.9688  2 Ag 3.03, 1 Co 3.31
Sm3 0.2500 0.6804 0.0312  2 Ag 3.03, 1 Co 3.31
Sm4 0.7500 0.6811 0.3907  3 Co 2.87-3.10, 3 Ag 3.16-3.21
Sm5 0.2500 0.3189 0.6093  3 Co 2.87-3.10, 3 Ag 3.16-3.21
Sm6 0.2500 0.9524 0.7648  3 Co 2.81-2.91
Co1 0.7500 0.0601 0.5810  2 Co 2.38
Co2 0.2500 0.9399 0.4190  2 Co 2.38
Ag1 0.2500 0.3618 0.2557  7 Sm 3.03-3.25
Ag2 0.7500 0.6382 0.7443  7 Sm 3.03-3.25

Summary:
energy of formation: -0.15 eV per atom
space-group type: P2_1/m
D(E_F): 9.4 states/eV per cell
E: -4.97 eV/atom
distance to the lowest polymorph of the same formula: 0.0 kJ/mol of formula units
spin magnetization: 0.00 μB/f.u.


Entry 5:
VASP calculation (PBE) on a geometry-optimized SmCo4Ag structure.

a b c (Å): 5.0132 5.0132 5.0132
angles (deg): 60.00 60.00 60.00
With the nearest neighbours (Å) after each atom.
Element x y z (fractional)
Ag1 0.2500 0.2500 0.2500  12 Co 2.94, 4 Sm 3.07
Co1 0.6244 0.1268 0.6244  6 Co 2.49-2.52
Co2 0.1268 0.6244 0.6244  6 Co 2.49-2.52
Co3 0.6244 0.6244 0.1268  6 Co 2.49-2.52
Co4 0.6244 0.6244 0.6244  6 Co 2.49-2.52
Sm1 0.0000 0.0000 0.0000  12 Co 2.94, 4 Ag 3.07

Summary:
energy of formation: 0.01 eV per atom
space-group type: F-43m
D(E_F): 6.4 states/eV per cell
E: -5.99 eV/atom
distance to the lowest polymorph of the same formula: 0.0 kJ/mol of formula units
spin magnetization: 5.72 μB/f.u.


Entry 6:
VASP calculation (PBE) on a geometry-optimized Sm4Co2Ag5 structure.

a b c (Å): 3.7975 7.4154 8.7502
angles (deg): 94.98 90.00 90.00
With the nearest neighbours (Å) after each atom.
Element x y z (fractional)
Sm1 0.5000 0.8099 0.1562  2 Co 2.80
Sm2 0.5000 0.7713 0.5769  4 Co 2.87-2.95, 6 Ag 3.16-3.21
Sm3 0.5000 0.1901 0.8438  2 Co 2.80
Sm4 0.5000 0.2287 0.4231  4 Co 2.87-2.95, 6 Ag 3.16-3.21
Ag1 0.0000 0.8390 0.8644  1 Co 2.76, 1 Ag 2.87
Ag2 0.0000 0.4479 0.6675  1 Co 2.86, 2 Ag 2.90-3.10, 4 Sm 3.19-3.20
Ag3 0.0000 0.1610 0.1356  1 Co 2.76, 1 Ag 2.87
Ag4 0.0000 0.5521 0.3325  1 Co 2.86, 2 Ag 2.90-3.10, 4 Sm 3.19-3.20
Ag5 0.0000 0.5000 0.0000  4 Ag 2.87-2.90, 4 Sm 3.19
Co1 0.0000 0.9391 0.3734  1 Co 2.32
Co2 0.0000 0.0609 0.6266  1 Co 2.32

Summary:
energy of formation: -0.20 eV per atom
space-group type: P2/m
D(E_F): 6.0 states/eV per cell
E: -4.50 eV/atom
spin magnetization: 0.01 μB/f.u.


Entry 7:
VASP calculation (PBE) on a geometry-optimized Sm7Co2Ag2 structure.

a b c (Å): 6.8051 7.0617 6.8051
angles (deg): 90.00 110.68 90.00
With the nearest neighbours (Å) after each atom.
Element x y z (fractional)
Sm1 0.4998 0.2398 0.5002  2 Co 2.83, 2 Ag 3.11
Sm2 0.0002 0.7510 0.4997  2 Co 2.67
Sm3 0.5002 0.7602 0.4998  2 Co 2.83, 2 Ag 3.11
Sm4 0.0000 0.0000 0.0000  2 Co 3.33
Sm5 0.5003 0.7510 0.9998  2 Co 2.67
Sm6 0.9998 0.2490 0.5003  2 Co 2.67
Sm7 0.4997 0.2490 0.0002  2 Co 2.67
Co1 0.7024 0.0000 0.2976  6 Sm 2.67-2.83
Co2 0.2976 0.0000 0.7024  6 Sm 2.67-2.83
Ag1 0.1761 0.5000 0.1761  1 Ag 2.73
Ag2 0.8239 0.5000 0.8239  1 Ag 2.73

Summary:
energy of formation: -0.06 eV per atom
space-group type: Cmmm
D(E_F): 11.6 states/eV per cell
E: -4.88 eV/atom
distance to the lowest polymorph of the same formula: 64.8 kJ/mol of formula units
spin magnetization: 0.00 μB/f.u.


Entry 8:
VASP calculation (PBE) on a geometry-optimized Sm4CoAg2 structure.

a b c (Å): 5.1600 5.1600 8.4237
angles (deg): 107.84 107.84 90.00
With the nearest neighbours (Å) after each atom.
Element x y z (fractional)
Co1 0.0000 0.0000 0.0000  6 Sm 2.58-2.73
Ag1 0.6241 0.6241 0.2482  5 Sm 2.98-3.20
Ag2 0.3759 0.3759 0.7518  5 Sm 2.98-3.20
Sm1 0.1799 0.1799 0.3599  1 Co 2.73, 1 Ag 2.98
Sm2 0.5000 0.0000 0.0000  2 Co 2.58
Sm3 0.8201 0.8201 0.6401  1 Co 2.73, 1 Ag 2.98
Sm4 0.0000 0.5000 0.0000  2 Co 2.58

Summary:
energy of formation: -0.02 eV per atom
space-group type: I4/mmm
D(E_F): 10.2 states/eV per cell
E: -4.55 eV/atom
spin magnetization: 0.43 μB/f.u.


Entry 9:
VASP calculation (PBE) on a geometry-optimized Sm3CoAg structure.

a b c (Å): 6.1174 6.1174 8.6713
angles (deg): 67.58 67.58 62.87
With the nearest neighbours (Å) after each atom.
Element x y z (fractional)
Sm1 0.6838 0.6838 0.1315  2 Co 2.88, 2 Ag 3.22
Sm2 0.9759 0.9759 0.2163  2 Co 2.69
Sm3 0.2940 0.2940 0.3234  2 Co 2.91
Sm4 0.7060 0.7060 0.6766  2 Co 2.91
Sm5 0.0241 0.0241 0.7837  2 Co 2.69
Sm6 0.3162 0.3162 0.8685  2 Co 2.88, 2 Ag 3.22
Co1 0.3171 0.6829 0.0000  1 Co 2.33
Co2 0.6829 0.3171 0.0000  1 Co 2.33
Ag1 0.7211 0.2789 0.5000  1 Ag 2.82, 2 Sm 3.14
Ag2 0.2789 0.7211 0.5000  1 Ag 2.82, 2 Sm 3.14

Summary:
energy of formation: -0.15 eV per atom
space-group type: C2/m
D(E_F): 10.3 states/eV per cell
E: -4.97 eV/atom
distance to the lowest polymorph of the same formula: 2.2 kJ/mol of formula units
spin magnetization: 0.00 μB/f.u.


Entry 10:
VASP calculation (PBE) on a geometry-optimized Sm6CoAg2 structure.

a b c (Å): 6.8500 7.4094 10.2724
angles (deg): 90.00 88.80 90.00
With the nearest neighbours (Å) after each atom.
Element x y z (fractional)
Co1 0.5000 0.5000 0.0000  6 Sm 2.67-2.70
Co2 0.0000 0.0000 0.5000  6 Sm 2.67-2.70
Ag1 0.9496 0.3997 0.7493  6 Sm 3.06-3.20
Ag2 0.0504 0.6003 0.2507  6 Sm 3.06-3.20
Ag3 0.4496 0.1003 0.2493  6 Sm 3.06-3.20
Ag4 0.5504 0.8997 0.7507  6 Sm 3.06-3.20
Sm1 0.6848 0.1905 0.9478  1 Co 2.67
Sm2 0.3819 0.5125 0.7509  1 Co 2.70
Sm3 0.1754 0.3121 0.0531  1 Co 2.67
Sm4 0.8152 0.6905 0.5522  1 Co 2.67
Sm5 0.1848 0.3095 0.4478  1 Co 2.67
Sm6 0.6754 0.1879 0.5531  1 Co 2.67
Sm7 0.3246 0.8121 0.4469  1 Co 2.67
Sm8 0.6181 0.4875 0.2491  1 Co 2.70
Sm9 0.8819 0.9875 0.2509  1 Co 2.70
Sm10 0.8246 0.6879 0.9469  1 Co 2.67
Sm11 0.1181 0.0125 0.7491  1 Co 2.70
Sm12 0.3152 0.8095 0.0522  1 Co 2.67

Summary:
energy of formation: -0.11 eV per atom
space-group type: P2_1/c
D(E_F): 21.1 states/eV per cell
E: -4.68 eV/atom
distance to the lowest polymorph of the same formula: 0.0 kJ/mol of formula units
spin magnetization: 0.00 μB/f.u.


Entry 11:
VASP calculation (PBE) on a geometry-optimized Sm2CoAg structure.

a b c (Å): 3.9230 3.9230 7.9149
angles (deg): 75.65 75.65 60.00
With the nearest neighbours (Å) after each atom.
Element x y z (fractional)
Ag1 0.5000 0.5000 0.5000  6 Sm 3.21
Sm1 0.7335 0.7335 0.7994  3 Co 2.73
Sm2 0.2665 0.2665 0.2006  3 Co 2.73
Co1 0.0000 0.0000 0.0000  6 Sm 2.73

Summary:
energy of formation: -0.07 eV per atom
space-group type: R-3m
D(E_F): 2.1 states/eV per cell
E: -4.91 eV/atom
distance to the lowest polymorph of the same formula: 35.8 kJ/mol of formula units
spin magnetization: 0.00 μB/f.u.